First-principles (PBE) data for a relaxed structure of KIr2W, as listed in the Alexandria database.

Unit cell a=2.787 b=4.885 c=5.099 alpha=90.00 beta=90.00 gamma=90.00
Element x y z (fractional)
K1 0.000 0.000 0.000
Ir1 0.000 0.500 0.500
Ir2 0.500 0.500 0.000
W1 0.500 0.000 0.500

Computed properties:
energy above the most stable polymorph in this dataset = 1100.4 meV/atom
Fermi-level density of states = 1.154 states/eV per atom
ΔH_f (0 K) = 1.38 eV per atom
space group = No. 47